[1]
OsRu2: optimized geometry, PBE.

Summary:
Energy of formation from the pure elements (eV per atom): 1.0919
Energy above the lowest structure with this stoichiometry (meV per atom): 1101
V (Å³/atom): 17.7
Electronic total energy (eV/atom): -8.84
Density of states at the Fermi level (states/eV/atom): 1.04

a b c (Å): 4.341 6.167 3.970
angles (deg): 90.00 90.00 90.00
Element x y z (fractional)
Os: 0.000 0.000 0.000
Os: 0.500 0.500 0.500
Ru: 0.205 0.375 0.000
Ru: 0.295 0.875 0.500
Ru: 0.705 0.125 0.500
Ru: 0.795 0.625 0.000

***

[2]
Ac8SiGe3Te4: optimized geometry, PBE.

Summary:
ΔE_f (raw) (meV per atom): -1177
V (Å³/atom): 36.7
Electronic total energy (eV/atom): -5.22
Density of states at the Fermi level (states/eV/atom): 0.41

a b c (Å): 9.472 9.472 9.472
angles (deg): 58.95 58.95 58.95
Element x y z (fractional)
Ac: 0.241 0.241 0.241
Ac: 0.242 0.741 0.741
Ac: 0.259 0.259 0.758
Ac: 0.259 0.758 0.259
Ac: 0.741 0.242 0.741
Ac: 0.741 0.741 0.242
Ac: 0.758 0.259 0.259
Ac: 0.759 0.759 0.759
Si: 0.500 0.500 0.500
Ge: 0.000 0.000 0.500
Ge: 0.000 0.500 0.000
Ge: 0.500 0.000 0.000
Te: 0.000 0.000 0.000
Te: 0.000 0.500 0.500
Te: 0.500 0.000 0.500
Te: 0.500 0.500 0.000

***

[3]
BaCa2Zn: optimized geometry, PBE.

Summary:
Energy of formation from the pure elements (eV per atom): -0.0790
V (Å³/atom): 37.6
Electronic total energy (eV/atom): -1.88
Density of states at the Fermi level (states/eV/atom): 1.35

a b c (Å): 3.833 3.833 10.232
angles (deg): 90.00 90.00 90.00
Element x y z (fractional)
Ba: 0.000 0.000 0.000
Ca: 0.500 0.500 0.327
Ca: 0.500 0.500 0.673
Zn: 0.000 0.000 0.500

***

[4]
Ag3SnTe3: optimized geometry, PBE.

Summary:
ΔE_f (raw) (meV per atom): -58
Energy above the lowest structure with this stoichiometry (meV per atom): 43
V (Å³/atom): 30.6
Electronic total energy (eV/atom): -3.20

a b c (Å): 9.016 7.458 12.772
angles (deg): 90.00 92.55 90.00
Element x y z (fractional)
Ag: 0.137 0.085 0.058
Ag: 0.137 0.415 0.558
Ag: 0.160 0.113 0.282
Ag: 0.160 0.387 0.782
Ag: 0.161 0.729 0.167
Ag: 0.161 0.771 0.667
Ag: 0.839 0.229 0.333
Ag: 0.839 0.271 0.833
Ag: 0.840 0.613 0.218
Ag: 0.840 0.887 0.718
Ag: 0.863 0.585 0.442
Ag: 0.863 0.915 0.942
Sn: 0.372 0.709 0.452
Sn: 0.372 0.791 0.952
Sn: 0.628 0.209 0.048
Sn: 0.628 0.291 0.548
Te: 0.131 0.005 0.834
Te: 0.131 0.495 0.334
Te: 0.153 0.038 0.500
Te: 0.153 0.462 0.000
Te: 0.406 0.537 0.668
Te: 0.406 0.963 0.168
Te: 0.594 0.037 0.832
Te: 0.594 0.463 0.332
Te: 0.847 0.538 0.000
Te: 0.847 0.962 0.500
Te: 0.869 0.505 0.666
Te: 0.869 0.995 0.166